[1]
Compound: Pr3Ho3Sc5
Source: Alexandria via LeMat-Bulk
Functional: PBE
Structure: relaxed

abc: 5.413 9.144 9.144
angles: 120.00 90.00 90.00
Site moments in Bohr magnetons follow the coordinates.
Atoms (fractional coordinates):
Pr (0.500, 0.625, 0.625)  0.04
Pr (0.500, 0.375, 0.000)  0.04
Pr (0.500, 0.000, 0.375)  0.04
Sc (0.500, 0.254, 0.254)  0.13
Sc (0.500, 0.746, 0.000)  0.13
Sc (0.500, 0.333, 0.667)  0.01
Sc (0.500, 0.667, 0.333)  0.01
Sc (0.500, 0.000, 0.746)  0.13
Ho (0.000, 0.403, 0.403)  0.17
Ho (0.000, 0.597, 0.000)  0.17
Ho (0.000, 0.000, 0.597)  0.17

***

[2]
Compound: PrHo3Sc
Source: Alexandria via LeMat-Bulk
Functional: PBE
Structure: relaxed

abc: 6.059 9.271 7.054
angles: 124.78 73.27 108.74
Atoms (fractional coordinates):
Ho (0.608, 0.198, 0.746)
Ho (0.197, 0.393, 0.746)
Ho (0.801, 0.606, 0.756)
Ho (0.392, 0.802, 0.254)
Ho (0.803, 0.607, 0.254)
Ho (0.199, 0.394, 0.244)
Sc (0.002, 0.001, 0.748)
Sc (0.998, 0.999, 0.252)
Pr (0.394, 0.801, 0.751)
Pr (0.606, 0.199, 0.249)

Computed properties:
E above lowest polymorph (meV/atom): 8.6

***

no.,total magnetic moment (μB per cell),E_tot (eV per cell)
1,1.52,-50.73
2,0.00,-49.27